The following is a GGA-PBE calculation of a relaxed structure of NdGa2SnAu5, from Alexandria.

Values from the calculation:
Its symmetry is P4/mmm, No. 123. As for the spin magnetization: 0.000 μB/f.u. The density of states at the Fermi level is 0.4453 states/eV per atom. As for the volume: 20.399 Å³/atom. The total energy is -3.868 eV/atom.

Cell: 4.5411 4.5411 8.9032 Å, 90.00 90.00 90.00°
Sites, in units of the cell vectors:
Nd 0.0000 0.0000 0.0000
Ga 0.5000 0.5000 0.1380
Ga 0.5000 0.5000 0.8620
Sn 0.0000 0.0000 0.5000
Au 0.0000 0.5000 0.2766
Au 0.0000 0.5000 0.7234
Au 0.5000 0.0000 0.2766
Au 0.5000 0.0000 0.7234
Au 0.5000 0.5000 0.5000